1.
Computed, not measured: a geometry-optimized Ca2CeTiAs4 structure at the PBE level of DFT.

Lattice parameters (Å, degrees): 6.9891 4.0615 7.1755 90.00 108.85 90.00
Closest atoms and distances in Å follow each position.
Space group P2/m (No. 10)
Inequivalent atoms, fractional coordinates:
Ca (0.0000, 0.0000, 0.0000) x1  6 As 3.07-3.09
Ca (0.5000, 0.5000, 0.0000) x1  6 As 2.92-2.93
Ce (0.0000, 0.5000, 0.5000) x1  6 As 2.86-2.87
Ti (0.5000, 0.0000, 0.5000) x1  6 As 2.67-2.72
As (0.2631, 0.0000, 0.7270) x2  1 Ti 2.67, 2 Ce 2.87, 2 Ca 2.93
As (0.2777, 0.5000, 0.2822) x2  2 Ti 2.72, 1 Ce 2.86, 1 Ca 2.92

Volume: 193 Å³ per cell
Formation energy: -1103 meV per atom
VASP energy: -45.252 eV for the cell shown

***

2.
Computed, not measured: a geometry-optimized RbGa2TcSb structure at the PBE level of DFT.

Lattice parameters (Å, degrees): 5.3916 5.3916 6.7641 90.00 90.00 90.00
Closest atoms and distances in Å follow each position.
Space group P4/mmm (No. 123)
Inequivalent atoms, fractional coordinates:
Rb (0.0000, 0.0000, 0.0000) x1  2 Sb 3.38
Ga (0.0000, 0.5000, 0.5000) x2  2 Sb 2.70
Tc (0.5000, 0.5000, 0.0000) x1  4 Rb 3.81
Sb (0.0000, 0.0000, 0.5000) x1  4 Ga 2.70

Volume: 197 Å³ per cell
VASP energy: -14.905 eV for the cell shown
ΔE to the lowest computed polymorph: 136.3 kJ per mole of atoms
Raw formation energy: 1.321 eV/atom

***

3.
Computed, not measured: a geometry-optimized SrHo6Te8 structure at the PBE level of DFT.

Lattice parameters (Å, degrees): 11.7895 11.7895 13.8771 90.00 90.00 120.00
Closest atoms and distances in Å follow each position.
Space group R-3 (No. 148, hexagonal axes)
Inequivalent atoms, fractional coordinates:
Sr (0.0000, 0.0000, 0.0000) x3  2 Te 3.30
Ho (0.0199, 0.1924, 0.3900) x18  5 Te 3.00-3.16
Te (0.0000, 0.0000, 0.2374) x6  3 Ho 3.02, 1 Sr 3.30
Te (0.0139, 0.3877, 0.2542) x18  4 Ho 3.00-3.16

Volume: 1670 Å³ per cell
VASP energy: -217.514 eV for the cell shown
ΔE to the lowest computed polymorph: 14.2 kJ per mole of atoms
Raw formation energy: -1.215 eV/atom

***

4.
Computed, not measured: a geometry-optimized LiTiGa structure at the PBE level of DFT.

Lattice parameters (Å, degrees): 3.8376 4.0924 11.9453 90.00 90.00 90.00
Closest atoms and distances in Å follow each position.
Space group Amm2 (No. 38)
Inequivalent atoms, fractional coordinates:
Li (0.0000, 0.0000, 0.0000) x2  2 Li 2.71, 6 Ga 2.78-2.81, 4 Ti 2.83-2.89
Li (0.5000, 0.0000, 0.1606) x2  2 Li 2.71, 4 Ga 2.77-2.90, 6 Ti 2.81-2.85
Ti (0.0000, 0.0000, 0.3369) x2  6 Ga 2.77-2.81, 4 Li 2.83-2.85, 2 Ti 2.85
Ti (0.0000, 0.0000, 0.6712) x2  4 Ga 2.72-2.77, 6 Li 2.81-2.89, 2 Ti 2.85
Ga (0.5000, 0.0000, 0.5038) x2  4 Ti 2.77, 6 Li 2.77-2.81, 2 Ga 2.90
Ga (0.5000, 0.0000, 0.8321) x2  6 Ti 2.72-2.81, 4 Li 2.78-2.90, 2 Ga 2.90

Volume: 188 Å³ per cell
Formation energy: -207 meV per atom
VASP energy: -53.822 eV for the cell shown
ΔE to the lowest computed polymorph: 7.6 kJ per mole of atoms

***

5.
Computed, not measured: a geometry-optimized MgV3Tc structure at the PBE level of DFT.

Lattice parameters (Å, degrees): 4.5703 4.5703 4.5703 90.00 90.00 90.00
Closest atoms and distances in Å follow each position.
Space group Pm-3m (No. 221)
Inequivalent atoms, fractional coordinates:
Mg (0.0000, 0.0000, 0.0000) x1  12 V 3.23
V (0.0000, 0.5000, 0.5000) x3  2 Tc 2.29
Tc (0.5000, 0.5000, 0.5000) x1  6 V 2.29

Volume: 95 Å³ per cell
Formation energy: 926 meV per atom
VASP energy: -34.688 eV for the cell shown
ΔE to the lowest computed polymorph: 0.0 kJ per mole of atoms

***

6.
Computed, not measured: a geometry-optimized Ac2EuPt structure at the PBE level of DFT.

Lattice parameters (Å, degrees): 4.3316 4.3316 30.2789 90.00 90.00 120.00
Closest atoms and distances in Å follow each position.
Space group R-3m (No. 166, hexagonal axes)
Inequivalent atoms, fractional coordinates:
Ac (0.0000, 0.0000, 0.2231) x6  3 Pt 3.03
Eu (0.0000, 0.0000, 0.0000) x3  6 Ac 4.17, 6 Eu 4.33
Pt (0.0000, 0.0000, 0.5000) x3  6 Ac 3.03

Volume: 492 Å³ per cell
Formation energy: -576 meV per atom
VASP energy: -80.513 eV for the cell shown
ΔE to the lowest computed polymorph: 0.0 kJ per mole of atoms

***

7.
Computed, not measured: a geometry-optimized ErSi2Ni structure at the PBE level of DFT.

Lattice parameters (Å, degrees): 3.8763 3.8763 15.0460 90.00 90.00 120.00
Closest atoms and distances in Å follow each position.
Space group R-3m (No. 166, hexagonal axes)
Inequivalent atoms, fractional coordinates:
Er (0.0000, 0.0000, 0.0000) x3  8 Si 2.89-3.18
Si (0.0000, 0.0000, 0.2115) x6  3 Ni 2.34, 3 Si 2.61
Ni (0.0000, 0.0000, 0.5000) x3  6 Si 2.34

Volume: 196 Å³ per cell
VASP energy: -72.610 eV for the cell shown
Raw formation energy: -0.753 eV/atom

***

8.
Computed, not measured: a geometry-optimized AcNi4Sn structure at the PBE level of DFT.

Lattice parameters (Å, degrees): 7.3412 7.3412 7.3412 90.00 90.00 90.00
Closest atoms and distances in Å follow each position.
Space group F-43m (No. 216)
Inequivalent atoms, fractional coordinates:
Ac (0.0000, 0.0000, 0.0000) x4  12 Ni 3.05, 4 Sn 3.18
Ni (0.1231, 0.1231, 0.6231) x16  6 Ni 2.56-2.64
Sn (0.2500, 0.2500, 0.2500) x4  12 Ni 3.04, 4 Ac 3.18

Volume: 396 Å³ per cell
Formation energy: -165 meV per atom
VASP energy: -128.895 eV for the cell shown
ΔE to the lowest computed polymorph: 0.0 kJ per mole of atoms

***

9.
Computed, not measured: a geometry-optimized K2NbIn structure at the PBE level of DFT.

Lattice parameters (Å, degrees): 9.7651 9.7651 6.1134 90.00 90.00 90.00
Closest atoms and distances in Å follow each position.
Space group I-42d (No. 122)
Inequivalent atoms, fractional coordinates:
K (0.2411, 0.2500, 0.1250) x8  2 K 3.06
Nb (0.0000, 0.0000, 0.5000) x4  2 In 3.06
In (0.0000, 0.0000, 0.0000) x4  2 Nb 3.06

Volume: 583 Å³ per cell
Formation energy: 1038 meV per atom
VASP energy: -43.406 eV for the cell shown

***

10.
Computed, not measured: a geometry-optimized HoSc2Zn2Sn2 structure at the PBE level of DFT.

Lattice parameters (Å, degrees): 4.6703 4.6703 24.9111 90.00 90.00 120.00
Closest atoms and distances in Å follow each position.
Space group R-3m (No. 166, hexagonal axes)
Inequivalent atoms, fractional coordinates:
Ho (0.0000, 0.0000, 0.0000) x3  6 Sn 3.21, 2 Sc 3.37
Sc (0.0000, 0.0000, 0.1352) x6  3 Zn 2.77
Zn (0.0000, 0.0000, 0.4425) x6  3 Sc 2.77, 1 Zn 2.87, 3 Sn 2.87
Sn (0.0000, 0.0000, 0.2634) x6  3 Zn 2.87, 4 Sc 3.15-3.19, 3 Ho 3.21

Volume: 471 Å³ per cell
Formation energy: -333 meV per atom
VASP energy: -90.380 eV for the cell shown

***

11.
Computed, not measured: a geometry-optimized ZrIBrO2 structure at the PBE level of DFT.

Lattice parameters (Å, degrees): 4.1574 4.1574 6.4675 90.00 90.00 90.00
Closest atoms and distances in Å follow each position.
Space group P4/mmm (No. 123)
Inequivalent atoms, fractional coordinates:
Zr (0.0000, 0.0000, 0.0000) x1  4 O 2.08
I (0.0000, 0.0000, 0.5000) x1  4 Br 2.94, 2 Zr 3.23
Br (0.5000, 0.5000, 0.5000) x1  4 I 2.94
O (0.0000, 0.5000, 0.0000) x2  2 Zr 2.08

Volume: 112 Å³ per cell
VASP energy: -28.472 eV for the cell shown
ΔE to the lowest computed polymorph: 0.0 kJ per mole of atoms
Raw formation energy: -1.357 eV/atom

***

12.
Computed, not measured: a geometry-optimized Mg2CrP structure at the PBE level of DFT.

Lattice parameters (Å, degrees): 2.9052 2.9052 26.3645 90.00 90.00 120.00
Closest atoms and distances in Å follow each position.
Space group R-3m (No. 166, hexagonal axes)
Inequivalent atoms, fractional coordinates:
Mg (0.0000, 0.0000, 0.2500) x6  3 Cr 2.76, 3 P 2.76, 6 Mg 2.91
Cr (0.0000, 0.0000, 0.0000) x3  6 Mg 2.76, 6 Cr 2.91
P (0.0000, 0.0000, 0.5000) x3  6 Mg 2.76, 6 P 2.91

Volume: 193 Å³ per cell
Formation energy: 381 meV per atom
VASP energy: -50.092 eV for the cell shown

***

13.
Computed, not measured: a geometry-optimized Ta2CuP6 structure at the PBE level of DFT.

Lattice parameters (Å, degrees): 5.7981 5.7981 10.6860 90.00 90.00 90.00
Closest atoms and distances in Å follow each position.
Space group P4_2/mnm (No. 136)
Inequivalent atoms, fractional coordinates:
Ta (0.0000, 0.0000, 0.1455) x4  6 P 2.42-2.46
Cu (0.0000, 0.0000, 0.5000) x2  2 P 2.22
P (0.2068, 0.2068, 0.3077) x8  2 Ta 2.42-2.46, 1 Cu 2.66
P (0.2294, 0.2294, 0.0000) x4  1 Cu 2.22, 2 Ta 2.44

Volume: 359 Å³ per cell
Formation energy: 158 meV per atom
VASP energy: -117.678 eV for the cell shown

***

14.
Computed, not measured: a geometry-optimized Mg2Tl4Pb structure at the PBE level of DFT.

Lattice parameters (Å, degrees): 6.5334 13.1007 9.3958 90.00 90.00 90.00
Closest atoms and distances in Å follow each position.
Space group Pbca (No. 61)
Inequivalent atoms, fractional coordinates:
Mg (0.0402, 0.2247, 0.0327) x8  1 Pb 2.97, 4 Tl 3.05-3.18
Tl (0.0052, 0.5784, 0.1503) x8  1 Mg 3.12, 1 Pb 3.44
Tl (0.2242, 0.6524, 0.7546) x8  4 Mg 3.05-3.34, 2 Tl 3.27
Pb (0.0000, 0.0000, 0.0000) x4  2 Mg 2.97

Volume: 804 Å³ per cell
Formation energy: 24 meV per atom
VASP energy: -64.774 eV for the cell shown
ΔE to the lowest computed polymorph: 0.0 kJ per mole of atoms

***

15.
Computed, not measured: a geometry-optimized LiSi2Sb structure at the PBE level of DFT.

Lattice parameters (Å, degrees): 6.6433 6.6433 6.6433 90.00 90.00 90.00
Closest atoms and distances in Å follow each position.
Space group F-43m (No. 216)
Inequivalent atoms, fractional coordinates:
Li (0.0000, 0.0000, 0.0000) x4  4 Sb 2.88, 4 Si 2.88
Si (0.0000, 0.0000, 0.5000) x4  4 Si 2.88, 4 Sb 2.88
Si (0.2500, 0.2500, 0.2500) x4  4 Li 2.88, 4 Si 2.88
Sb (0.2500, 0.2500, 0.7500) x4  4 Si 2.88, 4 Li 2.88

Volume: 293 Å³ per cell
VASP energy: -62.550 eV for the cell shown
Raw formation energy: 0.311 eV/atom

***

16.
Computed, not measured: a geometry-optimized HoHOs structure at the PBE level of DFT.

Lattice parameters (Å, degrees): 15.5554 3.6269 3.4197 90.00 90.00 90.00
Closest atoms and distances in Å follow each position.
Space group Pnma (No. 62)
Inequivalent atoms, fractional coordinates:
Ho (0.1597, 0.2500, 0.2480) x4  1 H 2.25
H (0.1958, 0.7500, 0.7453) x4  1 Ho 2.25
Os (0.0008, 0.7500, 0.2502) x4  4 Os 2.49

Volume: 193 Å³ per cell
VASP energy: -76.983 eV for the cell shown

***

17.
Computed, not measured: a geometry-optimized Sm3Dy6Y structure at the PBE level of DFT.

Lattice parameters (Å, degrees): 9.7920 6.8210 10.2502 90.00 90.23 90.00
Closest atoms and distances in Å follow each position.
Space group C2/m (No. 12)
Inequivalent atoms, fractional coordinates:
Sm (0.0000, 0.0000, 0.0000) x2  6 Dy 3.30-3.54
Sm (0.1442, 0.0000, 0.5670) x4  1 Sm 3.14, 2 Dy 3.40
Dy (0.1244, 0.2515, 0.2487) x8  4 Sm 3.30-3.69, 1 Y 3.32, 5 Dy 3.39-3.65
Dy (0.1444, 0.5000, 0.9356) x4  3 Dy 3.13-3.42
Y (0.0000, 0.5000, 0.5000) x2  4 Dy 3.32, 2 Sm 3.55

Volume: 685 Å³ per cell
Formation energy: 249 meV per atom
VASP energy: -91.490 eV for the cell shown
ΔE to the lowest computed polymorph: 9.3 kJ per mole of atoms

***

18.
Computed, not measured: a geometry-optimized SiSnP2 structure at the PBE level of DFT.

Lattice parameters (Å, degrees): 6.6267 6.6267 7.9319 90.00 90.00 90.00
Closest atoms and distances in Å follow each position.
Space group I-42d (No. 122)
Inequivalent atoms, fractional coordinates:
Si (0.0000, 0.0000, 0.0000) x4  4 P 2.26
Sn (0.0000, 0.0000, 0.5000) x4  4 P 2.88
P (0.1773, 0.7500, 0.1250) x8  2 Si 2.26

Volume: 348 Å³ per cell
VASP energy: -80.234 eV for the cell shown
ΔE to the lowest computed polymorph: 0.0 kJ per mole of atoms
Raw formation energy: 0.047 eV/atom

***

19.
Computed, not measured: a geometry-optimized Li2BiPCO7 structure at the PBE level of DFT.

Lattice parameters (Å, degrees): 4.9875 6.9485 9.1630 90.00 100.09 90.00
Closest atoms and distances in Å follow each position.
Space group P2_1 (No. 4)
Inequivalent atoms, fractional coordinates:
Li (0.1478, 0.0000, 0.0703) x2  3 O 1.98-2.08
Li (0.3191, 0.7748, 0.7680) x2  4 O 1.96-1.99
Bi (0.2217, 0.6330, 0.3422) x2  6 O 2.31-2.54
P (0.2270, 0.1431, 0.3868) x2  4 O 1.54-1.56
C (0.3926, 0.5997, 0.0530) x2  3 O 1.27-1.33
O (0.0740, 0.3113, 0.2963) x2  1 P 1.55
O (0.1464, 0.6664, 0.0624) x2  1 C 1.33
O (0.1544, 0.9603, 0.2893) x2  1 P 1.56
O (0.1553, 0.1226, 0.5432) x2  1 P 1.54
O (0.4587, 0.0356, 0.8255) x2  1 C 1.30
O (0.4598, 0.6837, 0.5894) x2  1 P 1.56
O (0.4797, 0.6000, 0.9304) x2  1 C 1.27

Volume: 313 Å³ per cell
VASP energy: -159.606 eV for the cell shown
ΔE to the lowest computed polymorph: 0.0 kJ per mole of atoms
Raw formation energy: -1.896 eV/atom

***

20.
Computed, not measured: a geometry-optimized Li3Pm2DyS6 structure at the PBE level of DFT.

Lattice parameters (Å, degrees): 6.9101 11.9815 6.6043 90.00 110.27 90.00
Closest atoms and distances in Å follow each position.
Space group C2/m (No. 12)
Inequivalent atoms, fractional coordinates:
Li (0.0000, 0.0000, 0.0000) x2  6 S 2.75-2.80
Li (0.0000, 0.3390, 0.0000) x4  6 S 2.70-2.86
Pm (0.0000, 0.1671, 0.5000) x4  6 S 2.81
Dy (0.0000, 0.5000, 0.5000) x2  6 S 2.75
S (0.2429, 0.5000, 0.2472) x4  3 Li 2.70-2.80, 1 Dy 2.75, 2 Pm 2.81
S (0.2472, 0.3369, 0.7539) x8  3 Li 2.74-2.86, 1 Dy 2.75, 2 Pm 2.81

Volume: 513 Å³ per cell
VASP energy: -132.736 eV for the cell shown
Raw formation energy: -1.813 eV/atom